This record from Alexandria via LeMat-Bulk describes a relaxed structure of TbDyFeNi. The functional is PBE-GGA.

Geometry as extended XYZ:
```
4
Lattice="4.7468 0.0000 0.0000 2.3734 4.1108 0.0000 2.3734 1.3703 3.8757" Properties=species:S:1:pos:R:3 pbc="T T T"
Ni 2.3734 1.3703 0.9689
Dy 4.7468 2.7405 1.9379
Fe 7.1202 4.1108 2.9068
Tb 0.0000 0.0000 0.0000
```

Output
ρ: 9.6 Mg/m³
total magnetic moment: 0.5 μB per formula unit
formation energy: -0.29 eV/f.u.

This record from Alexandria via LeMat-Bulk describes a relaxed structure of Sc3C. The functional is PBE-GGA.

Geometry as extended XYZ:
```
4
Lattice="-2.0176 -2.2006 0.1843 2.0034 -1.7190 1.4067 -2.5022 2.8880 7.0926" Properties=species:S:1:pos:R:3 pbc="T T T"
Sc -2.1173 0.4759 6.7771
C 0.0000 0.0000 0.0000
Sc -1.2511 1.4440 3.5463
Sc -0.3990 -1.5074 1.9065
```

Output
ρ: 3.4 Mg/m³
total magnetic moment: 0.0 μB per formula unit
formation energy: 0.43 eV/f.u.

This record from Alexandria via LeMat-Bulk describes a relaxed structure of AcLa2TmS4. The functional is PBE-GGA.

Geometry as extended XYZ:
```
8
Lattice="-3.1195 2.5829 -0.4808 -1.1313 -2.6010 -6.6328 -3.8539 -3.7884 4.6525" Properties=species:S:1:pos:R:3 pbc="T T T"
S -3.1685 -3.4601 1.9694
S -5.3924 -3.6281 -1.8023
Ac -2.1254 -0.0090 -3.5568
Tm 0.0000 0.0000 0.0000
S -1.8167 -2.9293 -3.9497
La -3.4867 -0.6027 2.0859
La -2.4926 -3.1947 -0.9902
S -2.7123 -0.1784 -0.6588
```

Output
ρ: 6.7 Mg/m³
total magnetic moment: 0.0 μB per formula unit
E_form (uncorrected): -2035 meV/atom

This record from Alexandria via LeMat-Bulk describes a relaxed structure of Ta6V3Fe3C2. The functional is PBE-GGA.

Geometry as extended XYZ:
```
28
Lattice="8.1681 -0.0123 0.0023 0.0144 8.1681 -0.0023 -4.0649 -4.1044 5.7749" Properties=species:S:1:pos:R:3 pbc="T T T"
V 7.1972 5.8930 0.9016
Ta -2.5691 0.5117 5.7678
V 1.8516 3.0735 4.8733
Ta 1.4651 1.4603 0.0000
Ta 4.6324 4.6173 0.0000
Ta 0.5331 1.4915 2.8805
C -1.0092 0.9982 4.3269
V 3.0793 0.2528 1.9827
C 5.1125 3.0390 1.4479
V 3.0802 5.8303 1.9668
C -1.0215 -3.0736 4.3478
Ta 5.6109 4.5797 2.8944
Ta 0.5312 4.5800 2.8863
V 4.3661 -1.0382 3.7945
Fe 7.1770 0.2903 0.9218
V 1.7754 -1.0433 3.8081
Fe 3.0784 1.0142 4.3487
Fe 5.1419 7.1265 1.4262
Ta 7.1508 3.0347 0.6998
Ta -1.0068 3.0364 5.0750
C 1.0407 3.0400 1.4271
Ta 3.0728 3.0339 2.2134
Ta 5.5924 1.4709 2.8886
Fe 3.0932 -3.0721 4.3331
Ta -1.0210 -1.0415 3.5615
Ta 4.6210 1.4807 0.0070
Fe 1.0412 -1.0135 1.4441
Fe 4.4170 3.0594 4.8554
```

Output
ρ: 12.3 Mg/m³
total magnetic moment: 2.7 μB per formula unit
formation energy: -4.64 eV/f.u.